No. 1
GaSi2Pb | PBE-GGA | optimized geometry

Unit cell a=4.9007 b=4.9007 c=4.9007 alpha=60.00 beta=60.00 gamma=60.00
Last column: nearest neighbours and their distance in Å.
Positions (direct):
Ga (0.0000, 0.0000, 0.0000)  8 Si 3.00
Si (0.2500, 0.2500, 0.2500)  4 Pb 3.00, 4 Ga 3.00
Si (0.7500, 0.7500, 0.7500)  4 Ga 3.00, 4 Pb 3.00
Pb (0.5000, 0.5000, 0.5000)  8 Si 3.00

Properties
Final energy ... -3.832 eV per atom
Space-group type ... Fm-3m (225)
E_form (uncorrected) ... 0.56 eV/atom
Distance to the lowest polymorph of the same formula ... 0.205 eV/atom
Calculated volume ... 20.8 Å³ per atom


No. 2
GaSi2Pb | PBE-GGA | optimized geometry

Unit cell a=7.4097 b=7.4097 c=7.4097 alpha=133.65 beta=133.65 gamma=67.63
Last column: nearest neighbours and their distance in Å.
Positions (direct):
Ga (0.0000, 0.0000, 0.0000)  4 Si 2.45
Ga (0.7500, 0.2500, 0.5000)  4 Si 2.45
Si (0.0852, 0.6250, 0.9602)  2 Ga 2.45, 2 Pb 2.71
Si (0.3750, 0.3352, 0.4602)  2 Ga 2.45, 2 Pb 2.71
Si (0.6648, 0.1250, 0.0398)  2 Ga 2.45, 2 Pb 2.71
Si (0.8750, 0.9148, 0.5398)  2 Ga 2.45, 2 Pb 2.71
Pb (0.2500, 0.7500, 0.5000)  4 Si 2.71
Pb (0.5000, 0.5000, 0.0000)  4 Si 2.71

Properties
Final energy ... -4.037 eV per atom
Space-group type ... I-42d (122)
E_form (uncorrected) ... 0.36 eV/atom
Distance to the lowest polymorph of the same formula ... 0.000 eV/atom
Calculated volume ... 26.2 Å³ per atom


No. 3
Ga2SiPb | PBE-GGA | optimized geometry

Unit cell a=4.9692 b=4.9692 c=4.9692 alpha=60.00 beta=60.00 gamma=60.00
Last column: nearest neighbours and their distance in Å.
Positions (direct):
Ga (0.2500, 0.2500, 0.2500)  4 Pb 3.04, 4 Si 3.04
Ga (0.7500, 0.7500, 0.7500)  4 Pb 3.04, 4 Si 3.04
Si (0.0000, 0.0000, 0.0000)  8 Ga 3.04
Pb (0.5000, 0.5000, 0.5000)  8 Ga 3.04

Properties
Final energy ... -3.472 eV per atom
Space-group type ... Fm-3m (225)
E_form (uncorrected) ... 0.32 eV/atom
Distance to the lowest polymorph of the same formula ... 0.169 eV/atom
Calculated volume ... 21.7 Å³ per atom


No. 4
Ga2SiPb | PBE-GGA | optimized geometry

Unit cell a=7.2025 b=7.2025 c=7.2025 alpha=129.22 beta=129.22 gamma=74.66
Last column: nearest neighbours and their distance in Å.
Positions (direct):
Ga (0.0684, 0.6250, 0.9434)  2 Si 2.42
Ga (0.3750, 0.3184, 0.4434)  2 Si 2.42
Ga (0.6816, 0.1250, 0.0566)  2 Si 2.42
Ga (0.8750, 0.9316, 0.5566)  2 Si 2.42
Si (0.0000, 0.0000, 0.0000)  4 Ga 2.42
Si (0.7500, 0.2500, 0.5000)  4 Ga 2.42
Pb (0.2500, 0.7500, 0.5000)  4 Ga 2.83
Pb (0.5000, 0.5000, 0.0000)  4 Ga 2.83

Properties
Final energy ... -3.536 eV per atom
Space-group type ... I-42d (122)
E_form (uncorrected) ... 0.26 eV/atom
Distance to the lowest polymorph of the same formula ... 0.104 eV/atom
Calculated volume ... 27.3 Å³ per atom


No. 5
GaSiSnPb2 | PBE-GGA | optimized geometry

Unit cell a=5.5216 b=5.5216 c=4.8109 alpha=90.00 beta=90.00 gamma=90.00
Last column: nearest neighbours and their distance in Å.
Positions (direct):
Ga (0.0000, 0.0000, 0.0000)  2 Si 2.41
Si (0.0000, 0.0000, 0.5000)  2 Ga 2.41
Sn (0.5000, 0.5000, 0.5000)  8 Pb 3.66, 4 Si 3.90
Pb (0.0000, 0.5000, 0.0000)  2 Ga 2.76
Pb (0.5000, 0.0000, 0.0000)  2 Ga 2.76

Properties
Final energy ... -3.438 eV per atom
Space-group type ... P4/mmm (123)
E_form (uncorrected) ... 0.54 eV/atom
Calculated volume ... 29.3 Å³ per atom


No. 6
Sm6Ga2Pb | PBE-GGA | optimized geometry

Unit cell a=8.8650 b=8.8650 c=8.8650 alpha=112.46 beta=112.33 gamma=103.76
Last column: nearest neighbours and their distance in Å.
Positions (direct):
Sm (0.0315, 0.2359, 0.7956)  2 Ga 3.00-3.32, 1 Pb 3.28
Sm (0.1869, 0.2828, 0.4698)  3 Ga 3.11-3.26, 1 Pb 3.34
Sm (0.1869, 0.7172, 0.9041)  3 Ga 3.11-3.26, 1 Pb 3.34
Sm (0.3208, 0.0239, 0.7031)  3 Ga 2.98-3.13
Sm (0.3208, 0.6177, 0.2969)  3 Ga 2.98-3.13
Sm (0.4403, 0.2359, 0.2044)  2 Ga 3.00-3.32, 1 Pb 3.28
Sm (0.5597, 0.7641, 0.7956)  2 Ga 3.00-3.32, 1 Pb 3.28
Sm (0.6792, 0.3823, 0.7031)  3 Ga 2.98-3.13
Sm (0.6792, 0.9761, 0.2969)  3 Ga 2.98-3.13
Sm (0.8131, 0.2828, 0.0959)  3 Ga 3.11-3.26, 1 Pb 3.34
Sm (0.8131, 0.7172, 0.5302)  3 Ga 3.11-3.26, 1 Pb 3.34
Sm (0.9685, 0.7641, 0.2044)  2 Ga 3.00-3.32, 1 Pb 3.28
Ga (0.1188, 0.6188, 0.5000)  1 Ga 2.60
Ga (0.3589, 0.0000, 0.3589)  1 Ga 2.79, 2 Sm 3.00
Ga (0.6411, 0.0000, 0.6411)  1 Ga 2.79, 2 Sm 3.00
Ga (0.8812, 0.3812, 0.5000)  1 Ga 2.60
Pb (0.0000, 0.0000, 0.0000)  8 Sm 3.28-3.34, 2 Ga 3.54
Pb (0.5000, 0.5000, 0.0000)  12 Sm 3.52-3.76

Properties
ΔH_f (0 K) ... -3.74 eV/f.u.
Final energy ... -4.646 eV per atom
Space-group type ... Immm (71)
Calculated volume ... 29.6 Å³ per atom


No. 7
SmGaPb2 | PBE-GGA | optimized geometry

Unit cell a=11.1661 b=11.1661 c=11.1661 alpha=18.38 beta=18.38 gamma=18.38
Last column: nearest neighbours and their distance in Å.
Positions (direct):
Sm (0.0000, 0.0000, 0.0000)  2 Pb 3.19, 6 Sm 3.57
Ga (0.5000, 0.5000, 0.5000)  6 Pb 3.08
Pb (0.0970, 0.0970, 0.0970)  3 Ga 3.08, 1 Sm 3.19
Pb (0.9030, 0.9030, 0.9030)  3 Ga 3.08, 1 Sm 3.19

Properties
ΔH_f (0 K) ... 0.46 eV/f.u.
Final energy ... -3.676 eV per atom
Space-group type ... R-3m (166)
Distance to the lowest polymorph of the same formula ... 0.476 eV/atom
Calculated volume ... 30.2 Å³ per atom


No. 8
SmGa2Pb | PBE-GGA | optimized geometry

Unit cell a=5.5107 b=5.5107 c=5.5107 alpha=53.47 beta=53.47 gamma=53.47
Last column: nearest neighbours and their distance in Å.
Positions (direct):
Sm (0.0000, 0.0000, 0.0000)  8 Ga 3.15-3.39
Ga (0.2397, 0.2397, 0.2397)  3 Pb 3.04, 4 Sm 3.15-3.39
Ga (0.7603, 0.7603, 0.7603)  3 Pb 3.04, 4 Sm 3.15-3.39
Pb (0.5000, 0.5000, 0.5000)  6 Ga 3.04

Properties
ΔH_f (0 K) ... -0.84 eV/f.u.
Final energy ... -3.831 eV per atom
Space-group type ... R-3m (166)
Distance to the lowest polymorph of the same formula ... 0.199 eV/atom
Calculated volume ... 25.1 Å³ per atom


Q: What is the calculated volume in the seventh record?
A: 30.2 Å³ per atom


Q: Look up the calculated volume of the seventh one.
A: 30.2 Å³ per atom


Q: Which of these has the lowest calculated volume?
A: number 1


Q: Which of these has the lowest calculated volume?
A: number 1